Material: ThScCo
Method: DFT, PBE
State: optimized geometry

Calculated values
- relative energy among the computed polymorphs (meV/atom) = 0.0
- calculated formation energy (eV/atom) = -0.262
- SG = No. 2
- electronic total energy (eV/atom) = -7.215
- calculated density (g/cm3) = 8.47
- magnetization (μB per formula unit) = 0.00

Cell lengths 3.567, 6.085, 6.699 Å; angles 95.50, 105.38, 106.97 degrees
Element x y z (fractional)
1 Th 0.214 0.298 0.129
2 Th 0.786 0.702 0.871
3 Sc 0.097 0.776 0.418
4 Sc 0.903 0.224 0.582
5 Co 0.443 0.070 0.816
6 Co 0.557 0.930 0.184